## one
A plane-wave DFT calculation with PBE-GGA was carried out for a relaxed ZrTa2Mo2 crystal.

Output
- DOS at the Fermi energy: 5.54 states/eV/f.u.
- M_tot: 0.00 μB/f.u.
- Symmetry: P4/mbm (127)

Geometry as POSCAR:
```
ZrTa2Mo2
1.0
8.076 0.000 0.000
0.000 8.076 0.000
0.000 0.000 2.901
Zr Ta Mo
2 4 4
Cartesian
0.000 0.000 0.000
4.038 4.038 0.000
1.165 2.873 0.000
2.873 6.911 0.000
5.203 1.165 0.000
6.911 5.203 0.000
1.260 5.298 1.450
2.778 1.260 1.450
5.298 6.816 1.450
6.816 2.778 1.450
```


## two
A plane-wave DFT calculation with PBE-GGA was carried out for a relaxed ZrTa2Mo2 crystal.

Output
- DOS at the Fermi energy: 5.70 states/eV/f.u.
- M_tot: 0.00 μB/f.u.
- Symmetry: I4/mmm (139)

Geometry as POSCAR:
```
ZrTa2Mo2
1.0
-2.093 2.093 5.707
2.093 -2.093 5.707
2.093 2.093 -5.707
Zr Ta Mo
1 2 2
Cartesian
0.000 0.000 0.000
0.000 0.000 4.409
0.000 0.000 7.004
2.093 0.000 2.853
0.000 2.093 2.853
```


Quick one: least stable of them? two


## one
A plane-wave DFT calculation with PBE-GGA was carried out for a relaxed TbTcMo crystal.

Output
- DOS at the Fermi energy: 2.20 states/eV/f.u.
- M_tot: 0.00 μB/f.u.
- Symmetry: I4mm (107)

Geometry as POSCAR:
```
TbTcMo
1.0
-1.613 1.613 5.474
1.613 -1.613 5.474
1.613 1.613 -5.474
Tb Tc Mo
1 1 1
Cartesian
0.000 0.000 0.000
0.000 0.000 7.515
0.000 0.000 3.376
```


## two
A plane-wave DFT calculation with PBE-GGA was carried out for a relaxed TbTcMo crystal.

Output
- DOS at the Fermi energy: 2.65 states/eV/f.u.
- M_tot: 0.00 μB/f.u.
- Symmetry: Imma (74)

Geometry as POSCAR:
```
TbTcMo
1.0
-2.730 2.768 3.835
2.730 -2.768 3.835
2.730 2.768 -3.835
Tb Tc Mo
2 2 2
Cartesian
0.000 1.384 0.974
2.730 1.384 2.861
2.730 0.000 0.000
0.000 0.000 3.835
1.365 1.384 -1.918
1.365 -1.384 1.918
```


Quick one: least stable of them? one


## one
A plane-wave DFT calculation with PBE-GGA was carried out for a relaxed TbTh2Mo crystal.

Output
- DOS at the Fermi energy: 5.01 states/eV/f.u.
- M_tot: 0.00 μB/f.u.
- Symmetry: P4/mmm (123)

Geometry as POSCAR:
```
TbTh2Mo
1.0
3.601 0.000 0.000
0.000 3.601 0.000
0.000 0.000 8.469
Tb Th Mo
1 2 1
Cartesian
0.000 0.000 0.000
1.800 1.800 2.461
1.800 1.800 6.008
0.000 0.000 4.235
```


## two
A plane-wave DFT calculation with PBE-GGA was carried out for a relaxed TbTh2Mo crystal.

Output
- DOS at the Fermi energy: 5.11 states/eV/f.u.
- M_tot: 0.00 μB/f.u.
- Symmetry: R-3m (166)

Geometry as POSCAR:
```
TbTh2Mo
1.0
1.743 1.006 10.961
-1.743 1.006 10.961
0.000 -2.013 10.961
Tb Th Mo
1 2 1
Cartesian
0.000 0.000 0.000
0.000 0.000 3.278
0.000 0.000 29.605
0.000 0.000 16.442
```


Quick one: least stable of them? two


## one
A plane-wave DFT calculation with PBE-GGA was carried out for a relaxed TcMo2 crystal.

Output
- DOS at the Fermi energy: 3.95 states/eV/f.u.
- M_tot: 0.00 μB/f.u.
- Symmetry: I4_1/amd (141)

Geometry as POSCAR:
```
TcMo2
1.0
-1.394 1.394 12.372
1.394 -1.394 12.372
1.394 1.394 -12.372
Tc Mo
2 4
Cartesian
1.394 0.697 3.093
0.000 0.697 9.279
1.394 -0.697 7.377
1.394 -0.697 11.181
0.000 2.090 1.191
0.000 2.090 4.995
```


## two
A plane-wave DFT calculation with PBE-GGA was carried out for a relaxed TcMo2 crystal.

Output
- DOS at the Fermi energy: 3.55 states/eV/f.u.
- M_tot: 0.00 μB/f.u.
- Symmetry: Pa-3 (205)

Geometry as POSCAR:
```
TcMo2
1.0
6.015 0.000 0.000
0.000 6.015 0.000
0.000 0.000 6.015
Tc Mo
4 8
Cartesian
0.000 0.000 0.000
0.000 3.008 3.008
3.008 0.000 3.008
3.008 3.008 0.000
0.761 3.768 5.255
0.761 5.255 2.247
2.247 0.761 5.255
2.247 2.247 2.247
3.768 3.768 3.768
3.768 5.255 0.761
5.255 0.761 3.768
5.255 2.247 0.761
```


## three
A plane-wave DFT calculation with PBE-GGA was carried out for a relaxed TcMo2 crystal.

Output
- DOS at the Fermi energy: 4.38 states/eV/f.u.
- M_tot: 0.00 μB/f.u.
- Symmetry: Fd-3m (227)

Geometry as POSCAR:
```
TcMo2
1.0
0.000 3.638 3.638
3.638 0.000 3.638
3.638 3.638 0.000
Tc Mo
2 4
Cartesian
0.909 0.909 0.909
6.366 6.366 6.366
3.638 1.819 1.819
1.819 3.638 1.819
1.819 1.819 3.638
3.638 3.638 3.638
```


Quick one: least stable of them? two


## one
A plane-wave DFT calculation with PBE-GGA was carried out for a relaxed Tc3Mo crystal.

Output
- DOS at the Fermi energy: 5.36 states/eV/f.u.
- M_tot: 0.00 μB/f.u.
- Symmetry: Pm-3n (223)

Geometry as POSCAR:
```
Tc3Mo
1.0
4.952 0.000 0.000
0.000 4.952 0.000
0.000 0.000 4.952
Tc Mo
6 2
Cartesian
0.000 1.238 2.476
0.000 3.714 2.476
1.238 2.476 0.000
2.476 0.000 1.238
2.476 0.000 3.714
3.714 2.476 0.000
0.000 0.000 0.000
2.476 2.476 2.476
```


## two
A plane-wave DFT calculation with PBE-GGA was carried out for a relaxed Tc3Mo crystal.

Output
- DOS at the Fermi energy: 4.01 states/eV/f.u.
- M_tot: 0.00 μB/f.u.
- Symmetry: P-1 (2)

Geometry as POSCAR:
```
Tc3Mo
1.0
4.809 0.000 0.000
-2.377 4.696 0.000
-0.023 -1.619 5.293
Tc Mo
6 2
Cartesian
-0.441 0.397 2.290
-0.425 -0.388 4.943
0.377 2.989 1.638
2.033 0.088 3.655
2.834 3.464 0.351
2.850 2.680 3.004
0.432 2.094 4.271
1.978 0.983 1.023
```


Quick one: least stable of them? one


## one
A plane-wave DFT calculation with PBE-GGA was carried out for a relaxed Tc3Mo crystal.

Output
- DOS at the Fermi energy: 3.58 states/eV/f.u.
- M_tot: 0.00 μB/f.u.
- Symmetry: C2/m (12)

Geometry as POSCAR:
```
Tc3Mo
1.0
4.587 -1.383 0.000
4.587 1.383 0.000
-0.842 0.000 4.715
Tc Mo
3 1
Cartesian
0.000 0.000 0.000
1.695 0.000 3.575
6.638 0.000 1.141
4.166 0.000 2.358
```


## two
A plane-wave DFT calculation with PBE-GGA was carried out for a relaxed Tc3Mo crystal.

Output
- DOS at the Fermi energy: 5.70 states/eV/f.u.
- M_tot: 0.00 μB/f.u.
- Symmetry: R-3m (166)

Geometry as POSCAR:
```
Tc3Mo
1.0
4.393 2.536 0.898
-4.393 2.536 0.898
0.000 -5.073 0.898
Tc Mo
3 1
Cartesian
-2.196 -1.268 0.898
-2.196 1.268 1.796
0.000 2.536 0.898
0.000 0.000 0.000
```


## three
A plane-wave DFT calculation with PBE-GGA was carried out for a relaxed Tc3Mo crystal.

Output
- DOS at the Fermi energy: 4.47 states/eV/f.u.
- M_tot: 0.00 μB/f.u.
- Symmetry: P4/mmm (123)

Geometry as POSCAR:
```
Tc3Mo
1.0
2.753 0.000 0.000
0.000 2.753 0.000
0.000 0.000 7.902
Tc Mo
3 1
Cartesian
0.000 0.000 0.000
1.376 1.376 1.910
1.376 1.376 5.992
0.000 0.000 3.951
```


## four
A plane-wave DFT calculation with PBE-GGA was carried out for a relaxed Tc3Mo crystal.

Output
- DOS at the Fermi energy: 5.04 states/eV/f.u.
- M_tot: 0.00 μB/f.u.
- Symmetry: P4/mmm (123)

Geometry as POSCAR:
```
Tc3Mo
1.0
4.389 0.000 0.000
0.000 4.389 0.000
0.000 0.000 3.117
Tc Mo
3 1
Cartesian
0.000 0.000 0.000
0.000 2.194 1.558
2.194 0.000 1.558
2.194 2.194 0.000
```


Quick one: least stable of them? two


## one
A plane-wave DFT calculation with PBE-GGA was carried out for a relaxed Tc3Mo crystal.

Output
- DOS at the Fermi energy: 4.72 states/eV/f.u.
- M_tot: 0.00 μB/f.u.
- Symmetry: Fm-3m (225)

Geometry as POSCAR:
```
Tc3Mo
1.0
0.000 3.108 3.108
3.108 0.000 3.108
3.108 3.108 0.000
Tc Mo
3 1
Cartesian
0.000 0.000 0.000
1.554 1.554 1.554
4.662 4.662 4.662
3.108 3.108 3.108
```


## two
A plane-wave DFT calculation with PBE-GGA was carried out for a relaxed Tc3Mo crystal.

Output
- DOS at the Fermi energy: 5.04 states/eV/f.u.
- M_tot: 0.00 μB/f.u.
- Symmetry: P-6m2 (187)

Geometry as POSCAR:
```
Tc3Mo
1.0
2.771 0.000 0.000
-1.386 2.400 0.000
0.000 0.000 8.975
Tc Mo
3 1
Cartesian
0.000 0.000 0.000
0.000 1.600 2.181
0.000 1.600 6.794
0.000 0.000 4.487
```


## three
A plane-wave DFT calculation with PBE-GGA was carried out for a relaxed Tc3Mo crystal.

Output
- DOS at the Fermi energy: 4.32 states/eV/f.u.
- M_tot: 0.00 μB/f.u.
- Symmetry: Pnma (62)

Geometry as POSCAR:
```
Tc3Mo
1.0
4.808 0.000 0.000
0.000 8.960 0.000
0.000 0.000 5.540
Tc Mo
12 4
Cartesian
0.414 2.240 0.680
1.155 4.547 4.842
1.155 8.892 4.842
1.249 0.067 2.072
1.249 4.412 2.072
1.990 6.720 3.450
2.818 2.240 2.090
3.559 4.547 3.469
3.559 8.892 3.469
3.653 0.067 0.698
3.653 4.412 0.698
4.394 6.720 4.860
0.397 2.240 3.450
2.006 6.720 0.680
2.801 2.240 4.860
4.410 6.720 2.090
```


Quick one: least stable of them? one


## one
A plane-wave DFT calculation with PBE-GGA was carried out for a relaxed Tc3Mo crystal.

Output
- DOS at the Fermi energy: 5.04 states/eV/f.u.
- M_tot: 0.00 μB/f.u.
- Symmetry: Cmmm (65)

Geometry as POSCAR:
```
Tc3Mo
1.0
1.558 -2.199 0.000
1.558 2.199 0.000
0.000 0.000 8.759
Tc Mo
3 1
Cartesian
0.000 0.000 0.000
1.558 0.000 2.170
1.558 0.000 6.589
0.000 0.000 4.379
```


## two
A plane-wave DFT calculation with PBE-GGA was carried out for a relaxed Tc3Mo crystal.

Output
- DOS at the Fermi energy: 3.76 states/eV/f.u.
- M_tot: 0.00 μB/f.u.
- Symmetry: Pmmm (47)

Geometry as POSCAR:
```
Tc3Mo
1.0
2.762 0.000 0.000
0.000 3.911 0.000
0.000 0.000 5.540
Tc Mo
3 1
Cartesian
0.000 0.000 0.000
1.381 1.956 1.352
1.381 1.956 4.188
0.000 0.000 2.770
```


## three
A plane-wave DFT calculation with PBE-GGA was carried out for a relaxed Tc3Mo crystal.

Output
- DOS at the Fermi energy: 4.99 states/eV/f.u.
- M_tot: 0.00 μB/f.u.
- Symmetry: Cmcm (63)

Geometry as POSCAR:
```
Tc3Mo
1.0
2.928 -4.646 0.000
2.928 4.646 0.000
0.000 0.000 4.407
Tc Mo
6 2
Cartesian
1.380 0.932 3.305
2.928 3.130 3.305
1.380 -0.932 1.102
4.475 0.932 3.305
2.928 -3.130 1.102
4.475 -0.932 1.102
2.928 1.254 1.102
2.928 -1.254 3.305
```


Quick one: least stable of them? one


## one
A plane-wave DFT calculation with PBE-GGA was carried out for a relaxed Tc3Mo crystal.

Output
- DOS at the Fermi energy: 4.76 states/eV/f.u.
- M_tot: 0.00 μB/f.u.
- Symmetry: I4/mmm (139)

Geometry as POSCAR:
```
Tc3Mo
1.0
-1.955 1.955 3.913
1.955 -1.955 3.913
1.955 1.955 -3.913
Tc Mo
3 1
Cartesian
0.000 0.000 0.000
1.955 0.000 1.957
0.000 1.955 1.957
0.000 0.000 3.913
```


## two
A plane-wave DFT calculation with PBE-GGA was carried out for a relaxed Tc3Mo crystal.

Output
- DOS at the Fermi energy: 4.09 states/eV/f.u.
- M_tot: 0.00 μB/f.u.
- Symmetry: Pmmn (59)

Geometry as POSCAR:
```
Tc3Mo
1.0
4.459 0.000 0.000
0.000 5.503 0.000
0.000 0.000 4.868
Tc Mo
6 2
Cartesian
1.115 0.031 0.777
1.115 1.376 3.280
1.115 2.720 0.777
3.344 2.782 4.090
3.344 4.127 1.588
3.344 5.471 4.090
1.115 4.127 3.138
3.344 1.376 1.730
```


Quick one: least stable of them? one


## one
A plane-wave DFT calculation with PBE-GGA was carried out for a relaxed Tc3Mo crystal.

Output
- DOS at the Fermi energy: 3.88 states/eV/f.u.
- M_tot: 0.00 μB/f.u.
- Symmetry: Pm-3m (221)

Geometry as POSCAR:
```
Tc3Mo
1.0
3.909 0.000 0.000
0.000 3.909 0.000
0.000 0.000 3.909
Tc Mo
3 1
Cartesian
0.000 0.000 1.954
0.000 1.954 0.000
1.954 0.000 0.000
1.954 1.954 1.954
```


## two
A plane-wave DFT calculation with PBE-GGA was carried out for a relaxed Tc3Mo crystal.

Output
- DOS at the Fermi energy: 4.15 states/eV/f.u.
- M_tot: 0.00 μB/f.u.
- Symmetry: P2/m (10)

Geometry as POSCAR:
```
Tc3Mo
1.0
2.710 0.000 0.000
0.000 4.286 0.000
-1.249 0.000 5.172
Tc Mo
3 1
Cartesian
0.000 0.000 0.000
-0.039 2.143 3.888
1.500 2.143 1.285
0.730 0.000 2.586
```


## three
A plane-wave DFT calculation with PBE-GGA was carried out for a relaxed Tc3Mo crystal.

Output
- DOS at the Fermi energy: 4.09 states/eV/f.u.
- M_tot: 0.00 μB/f.u.
- Symmetry: I4/mmm (139)

Geometry as POSCAR:
```
Tc3Mo
1.0
-1.957 1.957 7.807
1.957 -1.957 7.807
1.957 1.957 -7.807
Tc Mo
6 2
Cartesian
1.957 0.000 0.000
0.000 0.000 1.986
1.957 0.000 3.904
0.000 1.957 0.000
0.000 1.957 3.904
0.000 0.000 13.629
0.000 0.000 5.894
0.000 0.000 9.721
```


## four
A plane-wave DFT calculation with PBE-GGA was carried out for a relaxed Tc3Mo crystal.

Output
- DOS at the Fermi energy: 4.36 states/eV/f.u.
- M_tot: 0.00 μB/f.u.
- Symmetry: Imm2 (44)

Geometry as POSCAR:
```
Tc3Mo
1.0
-1.387 4.495 2.395
1.387 -4.495 2.395
1.387 4.495 -2.395
Tc Mo
3 1
Cartesian
0.000 0.000 0.000
1.387 2.140 -0.811
0.000 2.354 1.585
1.387 0.000 2.353
```


Quick one: least stable of them? two